Entry 1:
# GGA-PBEsol KYW2O, optimized geometry
# E_form (uncorrected): 245.8 kJ per mole of atoms
# Total magnetic moment: 0.7 Bohr magnetons per cell
data_KYW2O
_chemical_formula_sum 'K1 Y1 W2 O1'
_cell_length_a 4.6235
_cell_length_b 4.6235
_cell_length_c 4.5923
_cell_angle_alpha 90.00
_cell_angle_beta 90.00
_cell_angle_gamma 90.00
_symmetry_space_group_name_H-M 'P 4/m m m'
_symmetry_Int_Tables_number 123
_symmetry_space_group_name_Hall '-P 4 2'
loop_
_atom_site_label
_atom_site_fract_x
_atom_site_fract_y
_atom_site_fract_z
K1 0.0000 0.0000 0.0000
Y1 0.5000 0.5000 0.5000
W1 0.0000 0.5000 0.0000
O1 0.0000 0.0000 0.5000

=====

Entry 2:
# GGA-PBEsol KZrCr, optimized geometry
# ΔE_f: 1782 meV per atom
# Total magnetic moment: 12.0 Bohr magnetons per cell
data_KZrCr
_chemical_formula_sum 'K4 Zr4 Cr4'
_cell_length_a 6.9215
_cell_length_b 6.9215
_cell_length_c 6.9215
_cell_angle_alpha 90.00
_cell_angle_beta 90.00
_cell_angle_gamma 90.00
_symmetry_space_group_name_H-M 'F -4 3 m'
_symmetry_Int_Tables_number 216
_symmetry_space_group_name_Hall 'F -4 2 3'
loop_
_atom_site_label
_atom_site_fract_x
_atom_site_fract_y
_atom_site_fract_z
K1 0.0000 0.0000 0.0000
Zr1 0.0000 0.0000 0.5000
Cr1 0.2500 0.2500 0.7500

=====

Entry 3:
# GGA-PBEsol BaGaPd3, optimized geometry
# ΔE_f: -320 meV per atom
# Total magnetic moment: 0.0 Bohr magnetons per cell
data_BaGaPd3
_chemical_formula_sum 'Ba1 Ga1 Pd3'
_cell_length_a 4.7661
_cell_length_b 4.7661
_cell_length_c 4.7661
_cell_angle_alpha 90.00
_cell_angle_beta 90.00
_cell_angle_gamma 90.00
_symmetry_space_group_name_H-M 'P m -3 m'
_symmetry_Int_Tables_number 221
_symmetry_space_group_name_Hall '-P 4 2 3'
loop_
_atom_site_label
_atom_site_fract_x
_atom_site_fract_y
_atom_site_fract_z
Ba1 0.0000 0.0000 0.0000
Ga1 0.5000 0.5000 0.5000
Pd1 0.0000 0.5000 0.5000

=====

Entry 4:
# GGA-PBEsol Li2MnCrO4, optimized geometry
# E_form (uncorrected): -184.4 kJ per mole of atoms
# Total magnetic moment: 27.9 Bohr magnetons per cell
data_Li2MnCrO4
_chemical_formula_sum 'Li8 Mn4 Cr4 O16'
_cell_length_a 5.6832
_cell_length_b 8.5079
_cell_length_c 5.6837
_cell_angle_alpha 90.00
_cell_angle_beta 90.00
_cell_angle_gamma 90.00
_symmetry_space_group_name_H-M 'C 2 2 21'
_symmetry_Int_Tables_number 20
_symmetry_space_group_name_Hall 'C 2c 2'
loop_
_atom_site_label
_atom_site_fract_x
_atom_site_fract_y
_atom_site_fract_z
Li1 0.0000 0.2473 0.2500
Li2 0.2486 0.5000 0.5000
Mn1 0.0000 0.2473 0.7500
Cr1 0.2493 0.5000 0.0000
O1 0.0000 0.0169 0.7500
O2 0.0000 0.4783 0.7500
O3 0.2446 0.2323 0.5068

=====

Entry 5:
# GGA-PBEsol AgHgTe2, optimized geometry
# E_form (uncorrected): 13.3 kJ per mole of atoms
# Total magnetic moment: 0.0 Bohr magnetons per cell
data_AgHgTe2
_chemical_formula_sum 'Ag1 Hg1 Te2'
_cell_length_a 3.1192
_cell_length_b 3.1192
_cell_length_c 10.6446
_cell_angle_alpha 90.00
_cell_angle_beta 90.00
_cell_angle_gamma 90.00
_symmetry_space_group_name_H-M 'P 4/m m m'
_symmetry_Int_Tables_number 123
_symmetry_space_group_name_Hall '-P 4 2'
loop_
_atom_site_label
_atom_site_fract_x
_atom_site_fract_y
_atom_site_fract_z
Ag1 0.0000 0.0000 0.0000
Hg1 0.0000 0.0000 0.5000
Te1 0.5000 0.5000 0.2100

=====

Entry 6:
# GGA-PBEsol K3CaP, optimized geometry
# ΔE_f: 1004 meV per atom
# Total magnetic moment: 0.0 Bohr magnetons per cell
data_K3CaP
_chemical_formula_sum 'K3 Ca1 P1'
_cell_length_a 6.7279
_cell_length_b 6.7279
_cell_length_c 6.7279
_cell_angle_alpha 90.00
_cell_angle_beta 90.00
_cell_angle_gamma 90.00
_symmetry_space_group_name_H-M 'P m -3 m'
_symmetry_Int_Tables_number 221
_symmetry_space_group_name_Hall '-P 4 2 3'
loop_
_atom_site_label
_atom_site_fract_x
_atom_site_fract_y
_atom_site_fract_z
K1 0.0000 0.0000 0.5000
Ca1 0.0000 0.0000 0.0000
P1 0.5000 0.5000 0.5000